No. 1
Below is a geometry-optimized Dy6Sb5Te structure, with properties calculated at the PBE level.

POSCAR file:
```
Dy6Sb5Te
1.0
3.793 -6.567 0.000
3.793 6.567 0.000
-2.526 0.000 7.153
Dy Sb Te
6 5 1
Direct
0.077 0.415 0.746
0.245 0.245 0.252
0.415 0.077 0.746
0.585 0.923 0.254
0.755 0.755 0.748
0.923 0.585 0.254
0.000 0.000 0.500
0.167 0.833 0.000
0.335 0.665 0.500
0.665 0.335 0.500
0.833 0.167 0.000
0.500 0.500 0.000
```

Results
As for the space group: No. 12. As for the density: 8.0 g/cm³. The total DFT energy (no corrections) comes out at -65.696 eV/f.u. Its raw formation energy is -1194 meV/atom.

No. 2
Below is a geometry-optimized Dy4Sb3Te structure, with properties calculated at the PBE level.

POSCAR file:
```
Dy4Sb3Te
1.0
4.378 0.000 0.000
0.000 6.190 0.000
0.000 0.000 8.758
Dy Sb Te
4 3 1
Direct
0.000 0.000 0.000
0.000 0.000 0.500
0.500 0.500 0.242
0.500 0.500 0.758
0.000 0.500 0.000
0.500 0.000 0.252
0.500 0.000 0.748
0.000 0.500 0.500
```

Results
The energy above the lowest structure with this stoichiometry is 0.00 eV/f.u. As for the space group: No. 47. As for the density: 8.0 g/cm³. The total DFT energy (no corrections) comes out at -43.590 eV/f.u. Its raw formation energy is -1209 meV/atom.

No. 3
Below is a geometry-optimized Dy4SbTe2 structure, with properties calculated at the PBE level.

POSCAR file:
```
Dy4SbTe2
1.0
0.000 6.736 6.744
4.649 0.000 6.744
4.649 6.736 0.000
Dy Sb Te
8 2 4
Direct
0.121 0.319 0.319
0.260 0.681 0.681
0.319 0.121 0.740
0.319 0.740 0.121
0.681 0.260 0.879
0.681 0.879 0.260
0.740 0.319 0.319
0.879 0.681 0.681
0.375 0.375 0.375
0.625 0.625 0.625
0.000 0.000 0.000
0.000 0.000 0.500
0.000 0.500 0.000
0.500 0.000 0.000
```

Results
The energy above the lowest structure with this stoichiometry is 0.25 eV/f.u. As for the space group: No. 70. As for the density: 8.1 g/cm³. The total DFT energy (no corrections) comes out at -35.449 eV/f.u. Its raw formation energy is -948 meV/atom.

No. 4
Below is a geometry-optimized DySb2Te4 structure, with properties calculated at the PBE level.

POSCAR file:
```
DySb2Te4
1.0
2.081 -7.697 0.000
2.081 7.697 0.000
0.000 0.000 14.541
Dy Sb Te
2 4 8
Direct
0.112 0.888 0.750
0.888 0.112 0.250
0.367 0.633 0.567
0.367 0.633 0.933
0.633 0.367 0.067
0.633 0.367 0.433
0.000 0.000 0.000
0.000 0.000 0.500
0.289 0.711 0.122
0.289 0.711 0.378
0.468 0.532 0.750
0.532 0.468 0.250
0.711 0.289 0.622
0.711 0.289 0.878
```

Results
As for the space group: No. 63. As for the density: 6.5 g/cm³. The total DFT energy (no corrections) comes out at -28.360 eV/f.u. Its raw formation energy is -421 meV/atom.

No. 5
Below is a geometry-optimized Dy4Sb2Te structure, with properties calculated at the PBE level.

POSCAR file:
```
Dy4Sb2Te
1.0
7.650 0.000 0.000
0.000 6.732 0.000
-3.487 0.000 8.346
Dy Sb Te
8 4 2
Direct
0.091 0.250 0.080
0.189 0.750 0.345
0.268 0.003 0.765
0.268 0.497 0.765
0.732 0.503 0.235
0.732 0.997 0.235
0.811 0.250 0.655
0.909 0.750 0.920
0.080 0.250 0.445
0.345 0.750 0.073
0.655 0.250 0.927
0.920 0.750 0.555
0.478 0.250 0.348
0.522 0.750 0.652
```

Results
The energy above the lowest structure with this stoichiometry is 1.42 eV/f.u. As for the space group: No. 11. As for the density: 7.9 g/cm³. The total DFT energy (no corrections) comes out at -35.562 eV/f.u. Its raw formation energy is -824 meV/atom.

No. 6
Below is a geometry-optimized Dy6Sb2Te structure, with properties calculated at the PBE level.

POSCAR file:
```
Dy6Sb2Te
1.0
6.543 0.000 0.000
0.000 8.124 0.000
-6.362 0.000 10.114
Dy Sb Te
12 4 2
Direct
0.067 0.196 0.444
0.067 0.304 0.944
0.302 0.659 0.444
0.302 0.841 0.944
0.367 0.033 0.221
0.367 0.467 0.721
0.633 0.533 0.279
0.633 0.967 0.779
0.698 0.159 0.056
0.698 0.341 0.556
0.933 0.696 0.056
0.933 0.804 0.556
0.164 0.124 0.742
0.164 0.376 0.242
0.836 0.624 0.758
0.836 0.876 0.258
0.500 0.000 0.500
0.500 0.500 0.000
```

Results
As for the space group: No. 14. As for the density: 8.3 g/cm³. The total DFT energy (no corrections) comes out at -45.568 eV/f.u. Its raw formation energy is -730 meV/atom.

No. 7
Below is a geometry-optimized Dy5SbTe5 structure, with properties calculated at the PBE level.

POSCAR file:
```
Dy5SbTe5
1.0
6.852 -3.087 0.000
6.852 3.087 0.000
-2.743 0.000 8.226
Dy Sb Te
5 1 5
Direct
0.000 0.000 0.000
0.336 0.336 0.168
0.337 0.337 0.668
0.663 0.663 0.332
0.664 0.664 0.832
0.500 0.500 0.000
0.164 0.164 0.337
0.165 0.165 0.828
0.500 0.500 0.500
0.835 0.835 0.172
0.836 0.836 0.663
```

Results
As for the space group: No. 12. As for the density: 7.5 g/cm³. The total DFT energy (no corrections) comes out at -57.751 eV/f.u. Its raw formation energy is -1355 meV/atom.

No. 8
Below is a geometry-optimized Dy4Sb3Te structure, with properties calculated at the PBE level.

POSCAR file:
```
Dy4Sb3Te
1.0
6.187 0.000 0.000
0.000 6.187 0.000
0.000 0.000 6.187
Dy Sb Te
4 3 1
Direct
0.000 0.000 0.000
0.000 0.500 0.500
0.500 0.000 0.500
0.500 0.500 0.000
0.000 0.000 0.500
0.000 0.500 0.000
0.500 0.000 0.000
0.500 0.500 0.500
```

Results
The energy above the lowest structure with this stoichiometry is 0.08 eV/f.u. As for the space group: No. 221. As for the density: 8.0 g/cm³. The total DFT energy (no corrections) comes out at -43.515 eV/f.u. Its raw formation energy is -1200 meV/atom.

No. 9
Below is a geometry-optimized Dy4SbTe5 structure, with properties calculated at the PBE level.

POSCAR file:
```
Dy4SbTe5
1.0
9.486 0.000 0.000
0.000 10.338 0.000
0.000 0.000 7.516
Dy Sb Te
8 2 10
Direct
0.014 0.250 0.069
0.250 0.518 0.488
0.250 0.982 0.488
0.486 0.250 0.069
0.514 0.750 0.931
0.750 0.018 0.512
0.750 0.482 0.512
0.986 0.750 0.931
0.250 0.750 0.732
0.750 0.250 0.268
0.010 0.056 0.758
0.010 0.444 0.758
0.250 0.250 0.334
0.490 0.056 0.758
0.490 0.444 0.758
0.510 0.556 0.242
0.510 0.944 0.242
0.750 0.750 0.666
0.990 0.556 0.242
0.990 0.944 0.242
```

Results
As for the space group: No. 59. As for the density: 6.4 g/cm³. The total DFT energy (no corrections) comes out at -48.909 eV/f.u. Its raw formation energy is -1067 meV/atom.

No. 10
Below is a geometry-optimized Dy4TlSbTe2 structure, with properties calculated at the PBE level.

POSCAR file:
```
Dy4TlSbTe2
1.0
7.646 0.000 0.000
0.000 4.303 0.000
-2.447 0.000 7.243
Dy Tl Sb Te
4 1 1 2
Direct
0.247 0.000 0.242
0.251 0.500 0.762
0.749 0.500 0.238
0.753 0.000 0.758
0.000 0.500 0.000
0.500 0.000 0.000
0.000 0.000 0.500
0.500 0.500 0.500
```

Results
As for the space group: No. 10. As for the density: 8.6 g/cm³. The total DFT energy (no corrections) comes out at -39.388 eV/f.u. Its raw formation energy is -1026 meV/atom.

No. 11
Below is a geometry-optimized Dy3Tl4SbTe8 structure, with properties calculated at the PBE level.

POSCAR file:
```
Dy3Tl4SbTe8
1.0
4.470 2.581 8.130
-4.470 2.581 8.130
0.000 -5.161 8.130
Dy Tl Sb Te
3 4 1 8
Direct
0.000 0.500 0.500
0.500 0.000 0.500
0.500 0.500 0.000
0.000 0.000 0.500
0.000 0.500 0.000
0.500 0.000 0.000
0.500 0.500 0.500
0.000 0.000 0.000
0.238 0.238 0.737
0.238 0.737 0.238
0.262 0.262 0.262
0.263 0.762 0.762
0.737 0.238 0.238
0.738 0.738 0.738
0.762 0.263 0.762
0.762 0.762 0.263
```

Results
As for the space group: No. 166. As for the density: 7.2 g/cm³. The total DFT energy (no corrections) comes out at -66.014 eV/f.u. Its raw formation energy is -843 meV/atom.

No. 12
Below is a geometry-optimized Dy2TmSb2Te2 structure, with properties calculated at the PBE level.

POSCAR file:
```
Dy2TmSb2Te2
1.0
-2.838 2.838 7.572
2.838 -2.838 7.572
2.838 2.838 -7.572
Dy Tm Sb Te
2 1 2 2
Direct
0.112 0.112 0.000
0.888 0.888 0.000
0.500 0.500 0.000
0.000 0.500 0.500
0.500 0.000 0.500
0.303 0.303 0.000
0.697 0.697 0.000
```

Results
As for the space group: No. 139. As for the density: 6.8 g/cm³. The total DFT energy (no corrections) comes out at -32.865 eV/f.u. Its raw formation energy is -666 meV/atom.

No. 13
Below is a geometry-optimized DyTh3Sb4 structure, with properties calculated at the PBE level.

POSCAR file:
```
DyTh3Sb4
1.0
4.482 -6.331 0.000
4.482 6.331 0.000
0.000 0.000 4.476
Dy Th Sb
1 3 4
Direct
0.000 0.000 0.000
0.000 0.500 0.500
0.500 0.000 0.500
0.500 0.500 0.000
0.244 0.244 0.500
0.247 0.753 0.000
0.753 0.247 0.000
0.756 0.756 0.500
```

Results
The energy above the lowest structure with this stoichiometry is 0.03 eV/f.u. As for the space group: No. 65. As for the density: 8.8 g/cm³. The total DFT energy (no corrections) comes out at -51.031 eV/f.u. Its raw formation energy is -960 meV/atom.

No. 14
Below is a geometry-optimized Dy3ThSb4 structure, with properties calculated at the PBE level.

POSCAR file:
```
Dy3ThSb4
1.0
4.414 -6.243 0.000
4.414 6.243 0.000
0.000 0.000 4.424
Dy Th Sb
3 1 4
Direct
0.000 0.000 0.000
0.000 0.500 0.500
0.500 0.000 0.500
0.500 0.500 0.000
0.244 0.244 0.500
0.247 0.753 0.000
0.753 0.247 0.000
0.756 0.756 0.500
```

Results
As for the space group: No. 65. As for the density: 8.2 g/cm³. The total DFT energy (no corrections) comes out at -46.422 eV/f.u. Its raw formation energy is -1088 meV/atom.

No. 15
Below is a geometry-optimized Dy2Th2Sb5 structure, with properties calculated at the PBE level.

POSCAR file:
```
Dy2Th2Sb5
1.0
7.871 -4.133 0.000
7.871 4.133 0.000
0.000 0.000 8.282
Dy Th Sb
4 4 10
Direct
0.152 0.848 0.845
0.348 0.652 0.345
0.652 0.348 0.655
0.848 0.152 0.155
0.194 0.194 0.500
0.306 0.306 0.000
0.694 0.694 0.000
0.806 0.806 0.500
0.000 0.000 0.500
0.017 0.709 0.152
0.209 0.517 0.652
0.291 0.983 0.152
0.483 0.791 0.652
0.500 0.500 0.000
0.517 0.209 0.348
0.709 0.017 0.848
0.791 0.483 0.348
0.983 0.291 0.848
```

Results
As for the space group: No. 64. As for the density: 8.6 g/cm³. The total DFT energy (no corrections) comes out at -52.440 eV/f.u. Its raw formation energy is -865 meV/atom.

No. 16
Below is a geometry-optimized DyTh2Sb2 structure, with properties calculated at the PBE level.

POSCAR file:
```
DyTh2Sb2
1.0
3.243 -8.227 0.000
3.243 8.227 0.000
0.000 0.000 5.678
Dy Th Sb
2 4 4
Direct
0.000 0.000 0.000
0.000 0.000 0.500
0.198 0.802 0.750
0.412 0.588 0.250
0.588 0.412 0.750
0.802 0.198 0.250
0.120 0.390 0.750
0.390 0.120 0.250
0.610 0.880 0.750
0.880 0.610 0.250
```

Results
As for the space group: No. 63. As for the density: 9.5 g/cm³. The total DFT energy (no corrections) comes out at -29.696 eV/f.u. Its raw formation energy is -402 meV/atom.

No. 17
Below is a geometry-optimized DyTh4Sb6 structure, with properties calculated at the PBE level.

POSCAR file:
```
DyTh4Sb6
1.0
6.187 3.572 5.106
-6.187 3.572 5.106
0.000 -7.145 5.106
Dy Th Sb
2 8 12
Direct
0.000 0.000 0.000
0.500 0.500 0.500
0.142 0.750 0.358
0.250 0.250 0.250
0.250 0.642 0.858
0.358 0.142 0.750
0.642 0.858 0.250
0.750 0.358 0.142
0.750 0.750 0.750
0.858 0.250 0.642
0.063 0.921 0.672
0.079 0.328 0.937
0.172 0.421 0.563
0.328 0.937 0.079
0.421 0.563 0.172
0.437 0.828 0.579
0.563 0.172 0.421
0.579 0.437 0.828
0.672 0.063 0.921
0.828 0.579 0.437
0.921 0.672 0.063
0.937 0.079 0.328
```

Results
As for the space group: No. 167. As for the density: 8.9 g/cm³. The total DFT energy (no corrections) comes out at -68.041 eV/f.u. Its raw formation energy is -820 meV/atom.

No. 18
Below is a geometry-optimized DyTh2Sb structure, with properties calculated at the PBE level.

POSCAR file:
```
DyTh2Sb
1.0
4.745 0.000 0.000
0.000 4.745 0.000
0.000 0.000 5.128
Dy Th Sb
1 2 1
Direct
0.000 0.000 0.000
0.000 0.500 0.500
0.500 0.000 0.500
0.500 0.500 0.000
```

Results
As for the space group: No. 123. As for the density: 10.8 g/cm³. The total DFT energy (no corrections) comes out at -25.297 eV/f.u. Its raw formation energy is -433 meV/atom.

No. 19
Below is a geometry-optimized Dy5Th3Sb8 structure, with properties calculated at the PBE level.

POSCAR file:
```
Dy5Th3Sb8
1.0
4.438 2.562 7.221
-4.438 2.562 7.221
0.000 -5.125 7.221
Dy Th Sb
5 3 8
Direct
0.000 0.000 0.000
0.000 0.500 0.500
0.500 0.000 0.500
0.500 0.500 0.000
0.500 0.500 0.500
0.000 0.000 0.500
0.000 0.500 0.000
0.500 0.000 0.000
0.250 0.250 0.744
0.250 0.744 0.250
0.253 0.253 0.253
0.256 0.750 0.750
0.744 0.250 0.250
0.747 0.747 0.747
0.750 0.256 0.750
0.750 0.750 0.256
```

Results
As for the space group: No. 166. As for the density: 8.4 g/cm³. The total DFT energy (no corrections) comes out at -95.116 eV/f.u. Its raw formation energy is -1054 meV/atom.

No. 20
Below is a geometry-optimized DyThSb structure, with properties calculated at the PBE level.

POSCAR file:
```
DyThSb
1.0
5.225 0.000 0.000
-2.612 4.525 0.000
0.000 0.000 3.856
Dy Th Sb
1 1 1
Direct
0.000 0.000 0.000
0.333 0.667 0.496
0.667 0.333 0.871
```

Results
As for the space group: No. 156. As for the density: 9.4 g/cm³. The total DFT energy (no corrections) comes out at -16.934 eV/f.u. Its raw formation energy is -263 meV/atom.

No. 21
Below is a geometry-optimized DyThSb structure, with properties calculated at the PBE level.

POSCAR file:
```
DyThSb
1.0
3.167 -3.167 0.000
3.167 3.167 0.000
-0.004 0.000 8.864
Dy Th Sb
2 2 2
Direct
0.249 0.249 0.140
0.751 0.751 0.860
0.250 0.750 0.500
0.750 0.250 0.500
0.251 0.251 0.788
0.749 0.749 0.212
```

Results
As for the space group: No. 12. As for the density: 9.6 g/cm³. The total DFT energy (no corrections) comes out at -18.118 eV/f.u. Its raw formation energy is -658 meV/atom.